Record 1
# KLa2Ge2, relaxed, DFT PBE
# Formation enthalpy at 0 K in eV per formula unit: -1.19
data_KLa2Ge2
_cell_length_a 5.1999
_cell_length_b 5.1999
_cell_length_c 7.1378
_cell_angle_alpha 68.64
_cell_angle_beta 68.64
_cell_angle_gamma 90.00
_space_group_name_H-M_alt 'P 1'
_space_group_IT_number 1
_space_group_name_Hall 'P 1'
loop_
_atom_site_label
_atom_site_fract_x
_atom_site_fract_y
_atom_site_fract_z
Ge1 0.3924 0.3924 0.2152
Ge2 0.6076 0.6076 0.7848
K1 0.0000 0.0000 0.0000
La1 0.7500 0.2500 0.5000
La2 0.2500 0.7500 0.5000

***

Record 2
# BePd3I, relaxed, DFT PBE
# Uncorrected formation energy in eV/atom: 0.0488
# Energy relative to the lowest polymorph listed for this composition in meV per atom: 0
data_BePd3I
_cell_length_a 4.4014
_cell_length_b 4.4014
_cell_length_c 4.4014
_cell_angle_alpha 90.00
_cell_angle_beta 90.00
_cell_angle_gamma 90.00
_space_group_name_H-M_alt 'P 1'
_space_group_IT_number 1
_space_group_name_Hall 'P 1'
loop_
_atom_site_label
_atom_site_fract_x
_atom_site_fract_y
_atom_site_fract_z
I1 0.5000 0.5000 0.5000
Be1 0.0000 0.0000 0.0000
Pd1 0.0000 0.5000 0.0000
Pd2 0.0000 0.0000 0.5000
Pd3 0.5000 0.0000 0.0000

***

| no. | M_tot (μB/cell) |
| --- | --- |
| 1 | 0.00 |
| 2 | 0.00 |